Entry 1:
A plane-wave DFT calculation with GGA-PBE was carried out for PSe2 after structural relaxation.

abc: 5.9175 6.0161 3.6011
angles: 90.00 90.00 90.00
Element x y z (fractional)
P 0.0000 0.0000 0.0000
P 0.5000 0.5000 0.5000
Se 0.1236 0.2742 0.5000
Se 0.3764 0.7742 0.0000
Se 0.6236 0.2258 0.0000
Se 0.8764 0.7258 0.5000

Output
Formation energy (no corrections) ... 0.27 eV/atom
Offset from the most stable computed form ... 0.2390 eV per atom


Entry 2:
A plane-wave DFT calculation with GGA-PBE was carried out for Ca6Hg3N after structural relaxation.

abc: 7.0645 7.9580 11.8660
angles: 90.00 120.40 90.00
Element x y z (fractional)
Ca 0.0931 0.0381 0.2249
Ca 0.0931 0.4619 0.7249
Ca 0.1933 0.7226 0.0568
Ca 0.1933 0.7774 0.5568
Ca 0.3408 0.1530 0.0479
Ca 0.3408 0.3470 0.5479
Ca 0.6592 0.6530 0.4521
Ca 0.6592 0.8470 0.9521
Ca 0.8067 0.2226 0.4432
Ca 0.8067 0.2774 0.9432
Ca 0.9069 0.5381 0.2751
Ca 0.9069 0.9619 0.7751
Hg 0.3021 0.0974 0.7492
Hg 0.3021 0.4026 0.2492
Hg 0.5000 0.0000 0.5000
Hg 0.5000 0.5000 0.0000
Hg 0.6979 0.5974 0.7508
Hg 0.6979 0.9026 0.2508
N 0.0000 0.0000 0.0000
N 0.0000 0.5000 0.5000

Output
Formation energy (no corrections) ... -0.53 eV/atom


Entry 3:
A plane-wave DFT calculation with GGA-PBE was carried out for YAsN2O after structural relaxation.

abc: 3.8110 3.8110 3.8485
angles: 90.00 90.00 90.00
Element x y z (fractional)
Y 0.0000 0.0000 0.0000
As 0.5000 0.5000 0.5000
N 0.0000 0.5000 0.5000
N 0.5000 0.0000 0.5000
O 0.5000 0.5000 0.0000

Output
Formation energy (no corrections) ... -0.64 eV/atom


Entry 4:
A plane-wave DFT calculation with GGA-PBE was carried out for CsPmHgCl6 after structural relaxation.

abc: 7.1528 7.1528 7.7055
angles: 90.00 90.00 120.00
Element x y z (fractional)
Cs 0.0000 0.0000 0.0000
Pm 0.3333 0.6667 0.5000
Hg 0.6667 0.3333 0.5000
Cl 0.3830 0.0012 0.7055
Cl 0.3830 0.3818 0.2945
Cl 0.6182 0.0012 0.2945
Cl 0.6182 0.6170 0.7055
Cl 0.9988 0.3818 0.7055
Cl 0.9988 0.6170 0.2945

Output
Formation energy (no corrections) ... -1.67 eV/atom


Entry 5:
A plane-wave DFT calculation with GGA-PBE was carried out for Ag2Pb after structural relaxation.

abc: 6.5300 4.4232 9.1201
angles: 90.00 90.00 90.00
Element x y z (fractional)
Ag 0.1026 0.2500 0.2464
Ag 0.1209 0.2500 0.9196
Ag 0.3791 0.7500 0.4196
Ag 0.3974 0.7500 0.7464
Ag 0.6026 0.2500 0.2536
Ag 0.6209 0.2500 0.5804
Ag 0.8791 0.7500 0.0804
Ag 0.8974 0.7500 0.7536
Pb 0.1504 0.2500 0.5899
Pb 0.3496 0.7500 0.0899
Pb 0.6504 0.2500 0.9101
Pb 0.8496 0.7500 0.4101

Output
Formation energy from the elements ... 105 meV per atom


Entry 6:
A plane-wave DFT calculation with GGA-PBE was carried out for RbLaSeF2 after structural relaxation.

abc: 4.8014 4.8014 5.9346
angles: 90.00 90.00 90.00
Element x y z (fractional)
Rb 0.0000 0.0000 0.0000
La 0.5000 0.5000 0.5000
Se 0.5000 0.5000 0.0000
F 0.0000 0.5000 0.5000
F 0.5000 0.0000 0.5000

Output
Formation energy (no corrections) ... -2.88 eV/atom


Entry 7:
A plane-wave DFT calculation with GGA-PBE was carried out for BaLiPuI6 after structural relaxation.

abc: 7.9067 7.9067 15.0364
angles: 90.00 90.00 120.00
Element x y z (fractional)
Ba 0.0000 0.0000 0.0000
Ba 0.0000 0.0000 0.5000
Li 0.3333 0.6667 0.2500
Li 0.6667 0.3333 0.7500
Pu 0.3333 0.6667 0.7500
Pu 0.6667 0.3333 0.2500
I 0.0074 0.3648 0.1342
I 0.0074 0.6426 0.3658
I 0.3574 0.3648 0.3658
I 0.3574 0.9926 0.1342
I 0.3648 0.0074 0.6342
I 0.3648 0.3574 0.8658
I 0.6352 0.6426 0.1342
I 0.6352 0.9926 0.3658
I 0.6426 0.0074 0.8658
I 0.6426 0.6352 0.6342
I 0.9926 0.3574 0.6342
I 0.9926 0.6352 0.8658

Output
Formation energy (no corrections) ... -1.30 eV/atom


Entry 8:
A plane-wave DFT calculation with GGA-PBE was carried out for Dy2MgPd5 after structural relaxation.

abc: 5.7924 5.7924 5.7924
angles: 114.22 114.22 100.34
Element x y z (fractional)
Dy 0.0000 0.5000 0.5000
Dy 0.5000 0.0000 0.5000
Mg 0.4097 0.4097 0.0000
Pd 0.0178 0.0178 0.0000
Pd 0.5153 0.5153 0.5468
Pd 0.5153 0.9684 0.0000
Pd 0.9684 0.5153 0.0000
Pd 0.9684 0.9684 0.4532

Output
Formation energy from the elements ... -812 meV per atom


Copy entry 4 word for word.
A plane-wave DFT calculation with GGA-PBE was carried out for CsPmHgCl6 after structural relaxation.

abc: 7.1528 7.1528 7.7055
angles: 90.00 90.00 120.00
Element x y z (fractional)
Cs 0.0000 0.0000 0.0000
Pm 0.3333 0.6667 0.5000
Hg 0.6667 0.3333 0.5000
Cl 0.3830 0.0012 0.7055
Cl 0.3830 0.3818 0.2945
Cl 0.6182 0.0012 0.2945
Cl 0.6182 0.6170 0.7055
Cl 0.9988 0.3818 0.7055
Cl 0.9988 0.6170 0.2945

Output
Formation energy (no corrections) ... -1.67 eV/atom